# LiSc, optimized geometry, DFT GGA-PBE
# DFT formation energy = 0.3130 eV/atom
# Total magnetization = 0.0 μB/f.u.
# Calculated total energy = -3.810 eV/atom
data_LiSc
_space_group_name_H-M_alt 'P 1'
_space_group_IT_number 1
_space_group_name_Hall 'P 1'
_cell_length_a 4.970
_cell_length_b 4.970
_cell_length_c 4.970
_cell_angle_alpha 60.00
_cell_angle_beta 60.00
_cell_angle_gamma 60.00
loop_
_atom_site_label
_atom_site_fract_x
_atom_site_fract_y
_atom_site_fract_z
_atom_site_occupancy
Li1 0.125 0.125 0.125 1
Li2 0.875 0.875 0.875 1
Sc1 0.375 0.375 0.375 1
Sc2 0.625 0.625 0.625 1